[1]
SmHf2Zr (PBE, relaxed); polymorph energy (0 for the lowest one) = 1.49 kJ per mole of atoms; D(E_F) = 5.3 states/eV/f.u.; SG = R-3m, No. 166; energy relative to the elements = 0.16 eV/atom; magnetization = 0.000 μB per atom; calculated total energy = -32.5 eV/cell
1.0
-1.3905 -1.6802 -2.4122
-0.9845 -3.0579 0.5054
-10.4701 2.0419 2.4211
Hf Zr Sm
2 1 1
Direct
0.7448 0.7448 0.7655
0.2552 0.2552 0.2345
0.0000 0.0000 0.0000
0.5000 0.5000 0.5000

---

[2]
CdTeW2 (PBE, relaxed); polymorph energy (0 for the lowest one) = 66.46 kJ per mole of atoms; D(E_F) = 4.1 states/eV/f.u.; SG = I4/mmm, No. 139; magnetization = 0.000 μB per atom; raw formation energy = 1121 meV/atom; calculated total energy = -25.5 eV/cell
1.0
5.5451 -0.0192 0.0000
2.6236 4.8853 0.0000
-4.0844 -2.4330 2.8543
Cd Te W
1 1 2
Direct
0.7500 0.2500 0.5000
0.2500 0.7500 0.5000
0.0000 0.0000 0.0000
0.5000 0.5000 0.0000

---

[3]
LaMg3Al2 (PBE, relaxed); D(E_F) = 1.2 states/eV/f.u.; SG = Immm, No. 71; energy relative to the elements = -0.17 eV/atom; magnetization = 0.000 μB per atom; calculated total energy = -36.5 eV/cell
1.0
4.5169 0.0000 1.2435
1.1914 7.4810 4.4978
0.0053 0.2134 8.8061
Al Mg La
4 6 2
Direct
0.1981 0.3019 0.3019
0.4999 0.1488 0.8513
0.5001 0.8512 0.1487
0.8019 0.6981 0.6981
0.3339 0.8600 0.4722
0.0002 0.6661 0.3334
0.6663 0.5278 0.1395
0.9998 0.3339 0.6666
0.3337 0.4722 0.8605
0.6661 0.1400 0.5278
0.8673 0.1324 0.1330
0.1327 0.8676 0.8670

---

Repeat the third record exactly.
LaMg3Al2 (PBE, relaxed); D(E_F) = 1.2 states/eV/f.u.; SG = Immm, No. 71; energy relative to the elements = -0.17 eV/atom; magnetization = 0.000 μB per atom; calculated total energy = -36.5 eV/cell
1.0
4.5169 0.0000 1.2435
1.1914 7.4810 4.4978
0.0053 0.2134 8.8061
Al Mg La
4 6 2
Direct
0.1981 0.3019 0.3019
0.4999 0.1488 0.8513
0.5001 0.8512 0.1487
0.8019 0.6981 0.6981
0.3339 0.8600 0.4722
0.0002 0.6661 0.3334
0.6663 0.5278 0.1395
0.9998 0.3339 0.6666
0.3337 0.4722 0.8605
0.6661 0.1400 0.5278
0.8673 0.1324 0.1330
0.1327 0.8676 0.8670

---

Q: Which of these has the lowest D(E_F)?
A: LaMg3Al2